No. 1
A relaxed structure of BeCoAs, computed with PBE.

Computed properties:
Space group = P3m1
Formation enthalpy at 0 K = 4.2 kcal/mol of atoms
Distance to the lowest polymorph of the same formula = 314 meV per atom
N(E_F) = 1.73 states/eV per cell

Unit cell a=3.8802 b=3.8802 c=2.8196 alpha=90.00 beta=90.00 gamma=120.00
Sites, in units of the cell vectors:
Be (0.0000, 0.0000, 0.0000)
Co (0.3333, 0.6667, 0.4956)
As (0.6667, 0.3333, 0.4956)


No. 2
A relaxed structure of BeCo3As, computed with PBE.

Computed properties:
Space group = Pm-3m
Formation enthalpy at 0 K = 9.8 kcal/mol of atoms
Distance to the lowest polymorph of the same formula = 0 meV per atom
N(E_F) = 2.95 states/eV per cell

Unit cell a=3.8824 b=3.8824 c=3.8824 alpha=90.00 beta=90.00 gamma=90.00
Sites, in units of the cell vectors:
Be (0.0000, 0.0000, 0.0000)
Co (0.0000, 0.0000, 0.5000)
Co (0.0000, 0.5000, 0.0000)
Co (0.5000, 0.0000, 0.0000)
As (0.5000, 0.5000, 0.5000)


No. 3
A relaxed structure of BeFeCoAs, computed with PBE.

Computed properties:
Space group = F-43m
Formation enthalpy at 0 K = -3.6 kcal/mol of atoms
N(E_F) = 1.98 states/eV per cell

Unit cell a=3.8826 b=3.8826 c=3.8826 alpha=60.00 beta=60.00 gamma=60.00
Sites, in units of the cell vectors:
Be (0.0000, 0.0000, 0.0000)
Fe (0.7500, 0.7500, 0.7500)
Co (0.2500, 0.2500, 0.2500)
As (0.5000, 0.5000, 0.5000)


No. 4
A relaxed structure of BeCo2HgAs, computed with PBE.

Computed properties:
Space group = P4/mmm
Formation enthalpy at 0 K = 13.7 kcal/mol of atoms
N(E_F) = 5.82 states/eV per cell

Unit cell a=4.4320 b=4.4320 c=4.1465 alpha=90.00 beta=90.00 gamma=90.00
Sites, in units of the cell vectors:
Be (0.0000, 0.0000, 0.0000)
Co (0.0000, 0.5000, 0.5000)
Co (0.5000, 0.0000, 0.5000)
Hg (0.5000, 0.5000, 0.0000)
As (0.0000, 0.0000, 0.5000)


No. 5
A relaxed structure of BeIn2CoAs, computed with PBE.

Computed properties:
Space group = P4/mmm
Formation enthalpy at 0 K = 13.0 kcal/mol of atoms
N(E_F) = 4.07 states/eV per cell

Unit cell a=4.7771 b=4.7771 c=4.0672 alpha=90.00 beta=90.00 gamma=90.00
Sites, in units of the cell vectors:
Be (0.0000, 0.0000, 0.0000)
In (0.0000, 0.5000, 0.0000)
In (0.5000, 0.0000, 0.0000)
Co (0.0000, 0.0000, 0.5000)
As (0.5000, 0.5000, 0.5000)


No. 6
A relaxed structure of La2BeCo3As4, computed with PBE.

Computed properties:
Space group = P-4m2
Formation enthalpy at 0 K = -16.5 kcal/mol of atoms
N(E_F) = 6.24 states/eV per cell

Unit cell a=4.1918 b=4.1918 c=9.5735 alpha=90.00 beta=90.00 gamma=90.00
Sites, in units of the cell vectors:
La (0.0000, 0.5000, 0.2470)
La (0.5000, 0.0000, 0.7530)
Be (0.0000, 0.0000, 0.5000)
Co (0.0000, 0.5000, 0.8851)
Co (0.5000, 0.0000, 0.1149)
Co (0.5000, 0.5000, 0.5000)
As (0.0000, 0.0000, 0.0000)
As (0.0000, 0.5000, 0.6319)
As (0.5000, 0.0000, 0.3681)
As (0.5000, 0.5000, 0.0000)


No. 7
A relaxed structure of MnBeCoAs, computed with PBE.

Computed properties:
Space group = F-43m
Formation enthalpy at 0 K = -2.5 kcal/mol of atoms
N(E_F) = 2.73 states/eV per cell

Unit cell a=3.9041 b=3.9041 c=3.9041 alpha=60.00 beta=60.00 gamma=60.00
Sites, in units of the cell vectors:
Mn (0.0000, 0.0000, 0.0000)
Be (0.7500, 0.7500, 0.7500)
Co (0.5000, 0.5000, 0.5000)
As (0.2500, 0.2500, 0.2500)


No. 8
A relaxed structure of NaBeCoAs2, computed with PBE.

Computed properties:
Space group = P4/mmm
Formation enthalpy at 0 K = 38.8 kcal/mol of atoms
N(E_F) = 5.86 states/eV per cell

Unit cell a=4.8942 b=4.8942 c=4.3825 alpha=90.00 beta=90.00 gamma=90.00
Sites, in units of the cell vectors:
Na (0.0000, 0.0000, 0.0000)
Be (0.0000, 0.0000, 0.5000)
Co (0.5000, 0.5000, 0.5000)
As (0.0000, 0.5000, 0.0000)
As (0.5000, 0.0000, 0.0000)


No. 9
A relaxed structure of Na2BeCoAs, computed with PBE.

Computed properties:
Space group = P4/mmm
Formation enthalpy at 0 K = 15.5 kcal/mol of atoms
N(E_F) = 5.18 states/eV per cell

Unit cell a=5.5518 b=5.5518 c=4.3869 alpha=90.00 beta=90.00 gamma=90.00
Sites, in units of the cell vectors:
Na (0.0000, 0.5000, 0.0000)
Na (0.5000, 0.0000, 0.0000)
Be (0.0000, 0.0000, 0.5000)
Co (0.5000, 0.5000, 0.5000)
As (0.5000, 0.5000, 0.0000)


No. 10
A relaxed structure of NaBeCo2As, computed with PBE.

Computed properties:
Space group = P4/mmm
Formation enthalpy at 0 K = 44.6 kcal/mol of atoms
N(E_F) = 7.62 states/eV per cell

Unit cell a=4.3901 b=4.3901 c=4.7461 alpha=90.00 beta=90.00 gamma=90.00
Sites, in units of the cell vectors:
Na (0.0000, 0.0000, 0.0000)
Be (0.5000, 0.5000, 0.5000)
Co (0.0000, 0.5000, 0.0000)
Co (0.5000, 0.0000, 0.0000)
As (0.0000, 0.0000, 0.5000)